*P*
A plane-wave DFT calculation with GGA-PBE was carried out for a relaxed structure of PSe.

abc: 3.588 3.588 6.964
angles: 90.00 90.00 120.00
Atoms (fractional coordinates):
P  0.000  0.000  0.000
P  0.000  0.000  0.500
Se  0.333  0.667  0.250
Se  0.667  0.333  0.750

## Properties
The value obtained for the density of states at the Fermi level is 0.75 states/eV/atom. The value obtained for the total magnetization is 0.0 μB per formula unit. The volume is 78 Å³ per cell. As for the space group: P6_3/mmc, No. 194.

=====

*Q*
A plane-wave DFT calculation with GGA-PBE was carried out for a relaxed structure of PSe.

abc: 3.402 3.402 7.894
angles: 90.00 90.00 90.00
Atoms (fractional coordinates):
P  0.500  0.000  0.468
P  0.000  0.500  0.532
Se  0.500  0.000  0.193
Se  0.000  0.500  0.807

## Properties
The value obtained for the density of states at the Fermi level is 0.48 states/eV/atom. The value obtained for the total magnetization is 0.0 μB per formula unit. The volume is 91 Å³ per cell. As for the space group: P4/nmm, No. 129.

=====

Most stable: *Q*. Least stable: *P*.

=====

*P*
A plane-wave DFT calculation with GGA-PBE was carried out for a relaxed structure of B5C7.

abc: 2.658 2.658 16.658
angles: 90.00 90.00 120.00
Atoms (fractional coordinates):
C  0.333  0.667  0.519
C  0.333  0.667  0.035
C  0.667  0.333  0.772
C  0.000  0.000  0.913
C  0.000  0.000  0.283
C  0.000  0.000  0.002
C  0.667  0.333  0.170
B  0.333  0.667  0.132
B  0.333  0.667  0.763
B  0.667  0.333  0.872
B  0.000  0.000  0.519
B  0.667  0.333  0.273

## Properties
The value obtained for the density of states at the Fermi level is 0.17 states/eV/atom. The value obtained for the total magnetization is 0.1 μB per formula unit. The volume is 102 Å³ per cell. As for the space group: P3m1, No. 156.

=====

*Q*
A plane-wave DFT calculation with GGA-PBE was carried out for a relaxed structure of B5C7.

abc: 4.555 4.555 8.114
angles: 115.98 115.98 31.66
Atoms (fractional coordinates):
B  0.964  0.964  0.965
B  0.676  0.676  0.850
B  0.179  0.179  0.214
B  0.170  0.170  0.685
B  0.662  0.662  0.358
C  0.490  0.490  0.384
C  0.346  0.346  0.659
C  0.848  0.848  0.069
C  0.993  0.993  0.492
C  0.494  0.494  0.858
C  0.841  0.841  0.550
C  0.336  0.336  0.167

## Properties
The value obtained for the density of states at the Fermi level is 0.19 states/eV/atom. The value obtained for the total magnetization is 0.0 μB per formula unit. The volume is 79 Å³ per cell. As for the space group: Cm, No. 8.

=====

Most stable: *Q*. Least stable: *P*.

=====

*P*
A plane-wave DFT calculation with GGA-PBE was carried out for a relaxed structure of MnTc2Ru.

abc: 4.310 4.310 4.310
angles: 60.00 60.00 60.00
Site moments in Bohr magnetons follow the coordinates.
Atoms (fractional coordinates):
Tc  0.250  0.250  0.250  0.03
Tc  0.750  0.750  0.750  0.03
Ru  0.500  0.500  0.500  0.11
Mn  0.000  0.000  0.000  2.87

## Properties
The value obtained for the density of states at the Fermi level is 1.66 states/eV/atom. The value obtained for the total magnetization is 3.1 μB per formula unit. The volume is 57 Å³ per cell. As for the space group: Fm-3m, No. 225.

=====

*Q*
A plane-wave DFT calculation with GGA-PBE was carried out for a relaxed structure of MnTc2Ru.

abc: 4.314 4.314 4.314
angles: 60.00 60.00 60.00
Site moments in Bohr magnetons follow the coordinates.
Atoms (fractional coordinates):
Ru  0.750  0.750  0.750  0.30
Tc  0.000  0.000  0.000  0.02
Tc  0.250  0.250  0.250  -0.05
Mn  0.500  0.500  0.500  3.12

## Properties
The value obtained for the density of states at the Fermi level is 0.89 states/eV/atom. The value obtained for the total magnetization is 3.5 μB per formula unit. The volume is 57 Å³ per cell. As for the space group: F-43m, No. 216.

=====

Most stable: *Q*. Least stable: *P*.

=====

*P*
A plane-wave DFT calculation with GGA-PBE was carried out for a relaxed structure of CdSi2Br.

abc: 5.744 5.744 3.048
angles: 90.00 90.00 121.76
Atoms (fractional coordinates):
Br  0.500  0.000  0.500
Si  0.500  0.500  0.000
Si  0.000  0.000  0.000
Cd  0.000  0.500  0.500

## Properties
The value obtained for the density of states at the Fermi level is 0.55 states/eV/atom. The value obtained for the total magnetization is 0.0 μB per formula unit. The volume is 86 Å³ per cell. As for the space group: Cmmm, No. 65.

=====

*Q*
A plane-wave DFT calculation with GGA-PBE was carried out for a relaxed structure of CdSi2Br.

abc: 6.448 6.448 6.448
angles: 151.95 136.89 52.22
Atoms (fractional coordinates):
Br  0.490  0.490  0.000
Si  0.027  0.027  0.000
Si  0.202  0.702  0.500
Cd  0.782  0.282  0.500

## Properties
The value obtained for the density of states at the Fermi level is 0.40 states/eV/atom. The value obtained for the total magnetization is 0.0 μB per formula unit. The volume is 86 Å³ per cell. As for the space group: Imm2, No. 44.

=====

Most stable: *Q*. Least stable: *P*.